# Pr4CdBr5

An optimized crystal structure of Pr4CdBr5 (GGA-PBE, the Alexandria database).

Geometry as POSCAR:
```
Pr4CdBr5
1.0
4.011 0.000 -0.943
-0.573 8.876 -2.437
0.147 0.645 9.627
Br Pr Cd
5 4 1
direct
0.168 0.826 0.336 Br
0.168 0.319 0.336 Br
0.500 0.500 0.000 Br
0.832 0.174 0.664 Br
0.832 0.681 0.664 Br
0.003 0.245 0.006 Pr
0.664 0.074 0.328 Pr
0.336 0.926 0.672 Pr
0.997 0.755 0.994 Pr
0.500 0.000 0.000 Cd
```

Calculated values
Raw formation energy, eV/atom: -1.2885
Spin magnetization, μB/cell: 0.0

=====

# RbPrCdBr6

An optimized crystal structure of RbPrCdBr6 (GGA-PBE, the Alexandria database).

Geometry as POSCAR:
```
RbPrCdBr6
1.0
7.471 0.000 0.000
-3.736 6.470 0.000
0.000 0.000 15.205
Cd Br Rb Pr
2 12 2 2
direct
0.667 0.333 0.250 Cd
0.333 0.667 0.750 Cd
0.629 0.618 0.140 Br
0.011 0.382 0.640 Br
0.011 0.629 0.860 Br
0.371 0.989 0.640 Br
0.989 0.618 0.360 Br
0.371 0.382 0.860 Br
0.382 0.371 0.360 Br
0.382 0.011 0.140 Br
0.629 0.011 0.360 Br
0.989 0.371 0.140 Br
0.618 0.629 0.640 Br
0.618 0.989 0.860 Br
0.000 0.000 0.000 Rb
0.000 0.000 0.500 Rb
0.333 0.667 0.250 Pr
0.667 0.333 0.750 Pr
```

Calculated values
Raw formation energy, eV/atom: -1.5196
Spin magnetization, μB/cell: 0.0

=====

# Pr6CdRh2Br3

An optimized crystal structure of Pr6CdRh2Br3 (GGA-PBE, the Alexandria database).

Geometry as POSCAR:
```
Pr6CdRh2Br3
1.0
7.377 -0.005 -0.001
-3.691 6.387 -0.001
-1.230 -2.130 7.847
Br Pr Cd Rh
3 6 1 2
direct
0.836 0.164 0.500 Br
0.164 0.836 0.500 Br
0.500 0.500 0.500 Br
0.296 0.296 0.794 Pr
0.434 0.069 0.207 Pr
0.069 0.434 0.207 Pr
0.704 0.704 0.206 Pr
0.931 0.566 0.793 Pr
0.566 0.931 0.793 Pr
0.000 0.000 0.000 Cd
0.667 0.333 0.000 Rh
0.333 0.667 0.000 Rh
```

Calculated values
Raw formation energy, eV/atom: -0.9036
Spin magnetization, μB/cell: 0.0

=====

# Pr6CdSi2Br3

An optimized crystal structure of Pr6CdSi2Br3 (GGA-PBE, the Alexandria database).

Geometry as POSCAR:
```
Pr6CdSi2Br3
1.0
4.317 0.000 0.000
0.000 8.967 0.262
-2.158 -2.644 9.248
Pr Si Br Cd
6 2 3 1
direct
0.333 0.887 0.666 Pr
0.325 0.436 0.650 Pr
0.667 0.113 0.334 Pr
0.010 0.256 0.019 Pr
0.990 0.744 0.981 Pr
0.675 0.564 0.350 Pr
0.833 0.665 0.666 Si
0.167 0.335 0.334 Si
0.500 0.500 0.000 Br
0.833 0.168 0.666 Br
0.167 0.832 0.334 Br
0.500 0.000 0.000 Cd
```

Calculated values
Raw formation energy, eV/atom: -0.9221
Spin magnetization, μB/cell: 0.0

=====

# PrTlCdBr6

An optimized crystal structure of PrTlCdBr6 (GGA-PBE, the Alexandria database).

Geometry as POSCAR:
```
PrTlCdBr6
1.0
7.441 0.000 0.000
-3.720 6.444 0.000
0.000 0.000 14.518
Cd Br Tl Pr
2 12 2 2
direct
0.333 0.667 0.750 Cd
0.667 0.333 0.250 Cd
0.989 0.625 0.364 Br
0.375 0.363 0.364 Br
0.637 0.625 0.136 Br
0.011 0.637 0.864 Br
0.989 0.363 0.136 Br
0.363 0.989 0.636 Br
0.625 0.989 0.864 Br
0.363 0.375 0.864 Br
0.375 0.011 0.136 Br
0.625 0.637 0.636 Br
0.011 0.375 0.636 Br
0.637 0.011 0.364 Br
0.000 0.000 0.500 Tl
0.000 0.000 0.000 Tl
0.667 0.333 0.750 Pr
0.333 0.667 0.250 Pr
```

Calculated values
Raw formation energy, eV/atom: -1.3081
Spin magnetization, μB/cell: 0.0

=====

# CdPtBr2

An optimized crystal structure of CdPtBr2 (GGA-PBE, the Alexandria database).

Geometry as POSCAR:
```
CdPtBr2
1.0
-0.984 -1.095 6.081
-3.559 -4.933 -1.464
2.650 -6.609 2.457
Br Pt Cd
4 2 2
direct
0.875 0.901 0.750 Br
0.099 0.625 0.250 Br
0.375 0.349 0.750 Br
0.651 0.125 0.250 Br
0.750 0.250 0.500 Pt
0.000 0.000 0.000 Pt
0.500 0.500 0.000 Cd
0.250 0.750 0.500 Cd
```

Calculated values
Excess energy over the best structure of this formula in the dataset, meV per atom: 376.1
Raw formation energy, eV/atom: 0.1707
Spin magnetization, μB/cell: 0.0

=====

# CdPtBr6

An optimized crystal structure of CdPtBr6 (GGA-PBE, the Alexandria database).

Geometry as POSCAR:
```
CdPtBr6
1.0
-4.279 2.524 -5.927
1.517 -6.523 1.112
-3.483 1.425 5.675
Br Pt Cd
6 1 1
direct
0.878 0.146 0.300 Br
0.725 0.448 0.000 Br
0.578 0.846 0.700 Br
0.422 0.154 0.300 Br
0.122 0.854 0.700 Br
0.275 0.552 0.000 Br
0.500 0.000 0.000 Pt
0.000 0.000 0.000 Cd
```

Calculated values
Excess energy over the best structure of this formula in the dataset, meV per atom: 0.0
Raw formation energy, eV/atom: -0.4075
Spin magnetization, μB/cell: 0.0

=====

# CdPtBr2

An optimized crystal structure of CdPtBr2 (GGA-PBE, the Alexandria database).

Geometry as POSCAR:
```
CdPtBr2
1.0
6.222 -0.039 0.011
1.192 6.107 -0.011
-2.242 -4.824 3.228
Br Pt Cd
2 1 1
direct
0.427 0.427 0.000 Br
0.073 0.073 0.000 Br
0.250 0.750 0.500 Pt
0.750 0.250 0.500 Cd
```

Calculated values
Excess energy over the best structure of this formula in the dataset, meV per atom: 201.4
Raw formation energy, eV/atom: -0.0040
Spin magnetization, μB/cell: 0.0

=====

# CdPt2Br

An optimized crystal structure of CdPt2Br (GGA-PBE, the Alexandria database).

Geometry as POSCAR:
```
CdPt2Br
1.0
-3.739 3.638 1.117
-4.861 -1.981 0.953
4.931 -1.035 1.753
Pt Cd Br
2 1 1
direct
0.250 0.750 0.500 Pt
0.000 0.000 0.000 Pt
0.750 0.250 0.500 Cd
0.500 0.500 0.000 Br
```

Calculated values
Excess energy over the best structure of this formula in the dataset, meV per atom: 324.7
Raw formation energy, eV/atom: 0.3529
Spin magnetization, μB/cell: 0.0

=====

# CdPtBr2

An optimized crystal structure of CdPtBr2 (GGA-PBE, the Alexandria database).

Geometry as POSCAR:
```
CdPtBr2
1.0
3.786 0.000 0.000
0.000 3.910 -0.009
0.000 1.435 7.398
Br Pt Cd
2 1 1
direct
0.500 0.185 0.334 Br
0.000 0.847 0.923 Br
0.500 0.967 0.665 Pt
0.000 0.501 0.578 Cd
```

Calculated values
Excess energy over the best structure of this formula in the dataset, meV per atom: 0.0
Raw formation energy, eV/atom: -0.2054
Spin magnetization, μB/cell: 0.0

=====

# CdPtBr2

An optimized crystal structure of CdPtBr2 (GGA-PBE, the Alexandria database).

Geometry as POSCAR:
```
CdPtBr2
1.0
2.238 0.000 9.713
-1.119 1.938 9.713
-1.119 -1.938 9.713
Cd Br Pt
1 2 1
direct
0.000 0.000 0.000 Cd
0.884 0.884 0.884 Br
0.116 0.116 0.116 Br
0.500 0.500 0.500 Pt
```

Calculated values
Excess energy over the best structure of this formula in the dataset, meV per atom: 391.7
Raw formation energy, eV/atom: 0.1863
Spin magnetization, μB/cell: 1.8

=====

# CdPtBr2

An optimized crystal structure of CdPtBr2 (GGA-PBE, the Alexandria database).

Geometry as POSCAR:
```
CdPtBr2
1.0
-1.796 -2.135 -2.223
3.024 -1.739 -0.772
-1.203 -4.401 5.200
Cd Br Pt
1 2 1
direct
0.500 0.500 0.250 Cd
0.000 0.000 0.999 Br
0.000 0.000 0.501 Br
0.500 0.500 0.750 Pt
```

Calculated values
Excess energy over the best structure of this formula in the dataset, meV per atom: 597.6
Raw formation energy, eV/atom: 0.3922
Spin magnetization, μB/cell: 0.0